DFT (GGA-PBE) results for Al2NiCl after structural relaxation.

Cell and atoms, written as extended XYZ:
```
4
Lattice="-4.679 2.101 -0.430 -1.012 -0.548 -5.016 0.699 -2.385 4.507" Properties=species:S:1:pos:R:3 pbc="T T T"
Al -2.931 0.800 -2.806
Ni -3.412 0.246 0.677
Cl -1.579 -1.079 -1.616
Al -5.604 1.529 -5.363
```

Electronic total energy = -3.74 eV per atom
Energy above the lowest structure with this stoichiometry = 517 meV per atom
Uncorrected formation energy = 0.04 eV per atom
Spin magnetization = 0.00 μB per formula unit